1.
! RbZnClF2 (GGA-PBE, optimized geometry); values from VASP
&SYSTEM
  ibrav = 0, nat = 5, ntyp = 4
/
ATOMIC_SPECIES
F 19.00 F.upf
Rb 85.47 Rb.upf
Zn 65.41 Zn.upf
Cl 35.45 Cl.upf
CELL_PARAMETERS angstrom
-0.270 4.181 -1.133
-1.389 0.992 3.991
4.563 0.679 1.419
ATOMIC_POSITIONS angstrom
F -0.695 0.496 1.996
F -0.135 2.091 -0.567
Rb 1.452 2.926 2.139
Zn 0.000 0.000 0.000
Cl 2.282 0.340 0.710
! Crystal system: tetragonal
! Density of states at the Fermi level, states/eV/cell: 0.0
! Spin magnetization, μB/f.u.: 0.0
! Symmetry: P4/mmm (123)
! ρ, Mg/m³: 4.1
! V, Å³ per atom: 18.19

2.
! RbZnClF2 (GGA-PBE, optimized geometry); values from VASP
&SYSTEM
  ibrav = 0, nat = 10, ntyp = 4
/
ATOMIC_SPECIES
Cl 35.45 Cl.upf
F 19.00 F.upf
Zn 65.41 Zn.upf
Rb 85.47 Rb.upf
CELL_PARAMETERS angstrom
-1.929 -3.274 -0.786
6.717 -1.819 0.670
-1.068 -1.176 7.518
ATOMIC_POSITIONS angstrom
Cl 4.654 -4.159 5.901
Cl -0.934 -2.110 1.501
F 1.009 -1.580 4.102
F 3.169 -4.185 0.075
F 0.551 -2.084 7.327
F 2.711 -4.689 3.299
Zn -0.534 -0.588 3.759
Zn 0.000 0.000 0.000
Rb 0.891 -4.115 5.373
Rb 2.829 -2.154 2.028
! Crystal system: orthorhombic
! Density of states at the Fermi level, states/eV/cell: 0.0
! Spin magnetization, μB/f.u.: 0.0
! Symmetry: Cmcm (63)
! ρ, Mg/m³: 3.7
! V, Å³ per atom: 20.03

Top of the stability list: 2, leading by 4.0 kJ/mol of atoms.

1.
! Re2ClF (GGA-PBE, optimized geometry); values from VASP
&SYSTEM
  ibrav = 0, nat = 8, ntyp = 3
/
ATOMIC_SPECIES
Re 186.21 Re.upf
F 19.00 F.upf
Cl 35.45 Cl.upf
CELL_PARAMETERS angstrom
-0.021 3.619 3.664
1.311 -3.540 3.503
5.528 0.968 2.695
ATOMIC_POSITIONS angstrom
Re 2.199 -1.578 3.260
Re 5.296 0.736 8.351
Re 4.608 0.814 4.651
Re 1.532 2.121 3.463
F 0.645 0.039 3.584
F 3.742 -1.266 4.891
Cl 0.000 0.000 0.000
Cl 3.076 2.313 4.971
! Crystal system: tetragonal
! Density of states at the Fermi level, states/eV/cell: 0.0
! Spin magnetization, μB/f.u.: 0.0
! Symmetry: I-42d (122)
! ρ, Mg/m³: 10.6
! V, Å³ per atom: 16.74

2.
! Re2ClF (GGA-PBE, optimized geometry); values from VASP
&SYSTEM
  ibrav = 0, nat = 4, ntyp = 3
/
ATOMIC_SPECIES
F 19.00 F.upf
Re 186.21 Re.upf
Cl 35.45 Cl.upf
CELL_PARAMETERS angstrom
1.966 -0.164 3.720
-1.654 -2.239 3.159
1.853 -3.570 1.246
ATOMIC_POSITIONS angstrom
F 0.000 0.000 0.000
Re 1.624 -4.480 6.093
Re 0.541 -1.493 2.031
Cl 1.083 -2.987 4.062
! Crystal system: cubic
! Density of states at the Fermi level, states/eV/cell: 4.4
! Spin magnetization, μB/f.u.: 0.0
! Symmetry: Fm-3m (225)
! ρ, Mg/m³: 13.4
! V, Å³ per atom: 13.20

Top of the stability list: 2, leading by 8.9 kJ/mol of atoms.

1.
! RhClF3 (GGA-PBE, optimized geometry); values from VASP
&SYSTEM
  ibrav = 0, nat = 5, ntyp = 3
/
ATOMIC_SPECIES
Cl 35.45 Cl.upf
Rh 102.91 Rh.upf
F 19.00 F.upf
CELL_PARAMETERS angstrom
-0.270 -1.170 4.183
4.145 -1.323 -0.102
1.299 3.978 1.196
ATOMIC_POSITIONS angstrom
Cl 0.000 0.000 0.000
Rh 2.587 0.743 2.639
F 2.073 -0.661 -0.051
F -0.135 -0.585 2.092
F 0.649 1.989 0.598
! Crystal system: cubic
! Density of states at the Fermi level, states/eV/cell: 9.8
! Spin magnetization, μB/f.u.: 2.1
! Symmetry: Pm-3m (221)
! ρ, Mg/m³: 3.9
! V, Å³ per atom: 16.49

2.
! RhClF3 (GGA-PBE, optimized geometry); values from VASP
&SYSTEM
  ibrav = 0, nat = 5, ntyp = 3
/
ATOMIC_SPECIES
F 19.00 F.upf
Rh 102.91 Rh.upf
Cl 35.45 Cl.upf
CELL_PARAMETERS angstrom
4.117 0.000 0.000
0.000 4.117 0.000
0.000 0.000 4.117
ATOMIC_POSITIONS angstrom
F 0.000 0.000 2.058
F 2.058 0.000 0.000
F 0.000 2.058 0.000
Rh 0.000 0.000 0.000
Cl 2.058 2.058 2.058
! Crystal system: cubic
! Density of states at the Fermi level, states/eV/cell: 11.5
! Spin magnetization, μB/f.u.: 1.0
! Symmetry: Pm-3m (221)
! ρ, Mg/m³: 4.6
! V, Å³ per atom: 13.96

3.
! RhClF3 (GGA-PBE, optimized geometry); values from VASP
&SYSTEM
  ibrav = 0, nat = 10, ntyp = 3
/
ATOMIC_SPECIES
Rh 102.91 Rh.upf
F 19.00 F.upf
Cl 35.45 Cl.upf
CELL_PARAMETERS angstrom
4.938 0.000 0.000
0.000 6.028 -0.001
0.000 0.002 5.586
ATOMIC_POSITIONS angstrom
Rh 0.863 4.014 3.914
Rh 3.331 4.141 1.121
F 2.074 4.851 5.296
F 4.832 5.682 3.914
F 2.362 2.474 1.122
F 4.544 3.306 5.325
F 4.543 3.305 2.504
F 2.074 4.850 2.531
Cl 4.371 0.091 1.121
Cl 1.902 2.036 3.914
! Crystal system: orthorhombic
! Density of states at the Fermi level, states/eV/cell: 8.3
! Spin magnetization, μB/f.u.: 1.0
! Symmetry: Pmn2_1 (31)
! ρ, Mg/m³: 3.9
! V, Å³ per atom: 16.63

Top of the stability list: 3, leading by 43.6 kJ/mol of atoms.

1.
! RuCl2F (GGA-PBE, optimized geometry); values from VASP
&SYSTEM
  ibrav = 0, nat = 8, ntyp = 3
/
ATOMIC_SPECIES
Ru 101.07 Ru.upf
Cl 35.45 Cl.upf
F 19.00 F.upf
CELL_PARAMETERS angstrom
-5.885 -2.738 0.404
2.639 -5.263 2.763
-2.097 -2.491 4.913
ATOMIC_POSITIONS angstrom
Ru 0.000 0.000 0.000
Ru -4.803 -4.615 3.450
Cl 0.734 -4.094 2.982
Cl -4.259 -9.178 6.617
Cl -2.945 -4.560 4.710
Cl -4.218 -3.153 1.850
F -1.623 -4.001 1.583
F -0.541 -5.877 4.629
! Crystal system: tetragonal
! Density of states at the Fermi level, states/eV/cell: 8.1
! Spin magnetization, μB/f.u.: 0.0
! Symmetry: I-42d (122)
! ρ, Mg/m³: 4.1
! V, Å³ per atom: 19.49

2.
! RuCl2F (GGA-PBE, optimized geometry); values from VASP
&SYSTEM
  ibrav = 0, nat = 4, ntyp = 3
/
ATOMIC_SPECIES
F 19.00 F.upf
Ru 101.07 Ru.upf
Cl 35.45 Cl.upf
CELL_PARAMETERS angstrom
-3.946 -1.565 6.026
-3.702 -4.693 4.312
-1.004 -3.568 6.371
ATOMIC_POSITIONS angstrom
F 0.000 0.000 0.000
Ru -4.326 -4.913 8.354
Cl -7.709 -8.756 14.888
Cl -0.942 -1.070 1.820
! Crystal system: trigonal
! Density of states at the Fermi level, states/eV/cell: 2.0
! Spin magnetization, μB/f.u.: 0.8
! Symmetry: R-3m (166)
! ρ, Mg/m³: 4.0
! V, Å³ per atom: 19.59

3.
! RuCl2F (GGA-PBE, optimized geometry); values from VASP
&SYSTEM
  ibrav = 0, nat = 4, ntyp = 3
/
ATOMIC_SPECIES
Cl 35.45 Cl.upf
Ru 101.07 Ru.upf
F 19.00 F.upf
CELL_PARAMETERS angstrom
1.803 0.000 8.060
-0.901 1.561 8.060
-0.901 -1.561 8.060
ATOMIC_POSITIONS angstrom
Cl 0.000 0.000 2.151
Cl 0.000 0.000 22.028
Ru 0.000 0.000 0.000
F 0.000 0.000 12.090
! Crystal system: trigonal
! Density of states at the Fermi level, states/eV/cell: 4.1
! Spin magnetization, μB/f.u.: 0.0
! Symmetry: R-3m (166)
! ρ, Mg/m³: 4.7
! V, Å³ per atom: 17.01

Top of the stability list: 2, leading by 10.2 kJ/mol of atoms.

1.
! RuCl2F (GGA-PBE, optimized geometry); values from VASP
&SYSTEM
  ibrav = 0, nat = 4, ntyp = 3
/
ATOMIC_SPECIES
F 19.00 F.upf
Ru 101.07 Ru.upf
Cl 35.45 Cl.upf
CELL_PARAMETERS angstrom
3.429 0.000 -0.872
-0.275 3.876 -1.083
-0.102 -0.211 6.769
ATOMIC_POSITIONS angstrom
F 1.574 1.973 -0.988
Ru 1.609 -0.176 6.323
Cl 2.675 3.262 3.337
Cl 0.371 0.471 1.458
! Crystal system: orthorhombic
! Density of states at the Fermi level, states/eV/cell: 1.9
! Spin magnetization, μB/f.u.: 1.0
! Symmetry: Immm (71)
! ρ, Mg/m³: 3.6
! V, Å³ per atom: 22.19

2.
! RuCl2F (GGA-PBE, optimized geometry); values from VASP
&SYSTEM
  ibrav = 0, nat = 4, ntyp = 3
/
ATOMIC_SPECIES
Ru 101.07 Ru.upf
Cl 35.45 Cl.upf
F 19.00 F.upf
CELL_PARAMETERS angstrom
1.203 -4.011 0.771
-2.456 -2.540 2.376
-2.094 -3.236 -1.809
ATOMIC_POSITIONS angstrom
Ru -1.674 -4.894 0.669
Cl -2.511 -7.340 1.003
Cl -0.837 -2.447 0.334
F 0.000 0.000 0.000
! Crystal system: cubic
! Density of states at the Fermi level, states/eV/cell: 3.2
! Spin magnetization, μB/f.u.: 0.0
! Symmetry: Fm-3m (225)
! ρ, Mg/m³: 5.8
! V, Å³ per atom: 13.65

Top of the stability list: 1, leading by 85.2 kJ/mol of atoms.

1.
! Ru2ClF (GGA-PBE, optimized geometry); values from VASP
&SYSTEM
  ibrav = 0, nat = 4, ntyp = 3
/
ATOMIC_SPECIES
Cl 35.45 Cl.upf
F 19.00 F.upf
Ru 101.07 Ru.upf
CELL_PARAMETERS angstrom
1.214 0.624 3.935
-1.953 2.824 2.359
-2.428 -1.238 3.150
ATOMIC_POSITIONS angstrom
Cl -1.584 1.105 4.722
F 0.000 0.000 0.000
Ru -0.792 0.552 2.361
Ru -2.375 1.657 7.083
! Crystal system: cubic
! Density of states at the Fermi level, states/eV/cell: 5.8
! Spin magnetization, μB/f.u.: 0.0
! Symmetry: Fm-3m (225)
! ρ, Mg/m³: 8.3
! V, Å³ per atom: 12.78

2.
! Ru2ClF (GGA-PBE, optimized geometry); values from VASP
&SYSTEM
  ibrav = 0, nat = 8, ntyp = 3
/
ATOMIC_SPECIES
Ru 101.07 Ru.upf
Cl 35.45 Cl.upf
F 19.00 F.upf
CELL_PARAMETERS angstrom
5.525 0.000 0.000
0.000 5.525 0.000
2.763 2.763 4.432
ATOMIC_POSITIONS angstrom
Ru 4.280 1.381 1.108
Ru 1.245 4.144 1.108
Ru 4.144 4.008 3.324
Ru 6.907 7.043 3.324
Cl 0.000 0.000 0.000
Cl 5.525 2.763 2.216
F 2.763 5.525 2.216
F 2.763 2.763 0.000
! Crystal system: tetragonal
! Density of states at the Fermi level, states/eV/cell: 4.9
! Spin magnetization, μB/f.u.: 0.0
! Symmetry: I-42d (122)
! ρ, Mg/m³: 6.3
! V, Å³ per atom: 16.92

Top of the stability list: 1, leading by 3.1 kJ/mol of atoms.